1.
## CaPrMgAg (PBE-GGA)

Data for crystalline CaPrMgAg at its relaxed geometry.

The structure in extended XYZ format:
```
4
Lattice="3.8248 0.0000 0.0000 0.0000 3.8248 0.0000 0.0000 0.0000 7.7366" Properties=species:S:1:pos:R:3 pbc="T T T"
Ca 0.0000 0.0000 0.0000
Pr 0.0000 0.0000 3.6327
Mg 1.9124 1.9124 5.6623
Ag 1.9124 1.9124 1.8077
```

Output
DOS at the Fermi energy: 3.15 states/eV/f.u.
E_form: -187 meV per atom
Space group: No. 99
Calculated volume: 113.2 Å³/f.u.



2.
## Dy2CdAu3 (PBE-GGA)

Data for crystalline Dy2CdAu3 at its relaxed geometry.

The structure in extended XYZ format:
```
12
Lattice="4.9988 0.0000 0.0000 -2.4994 4.3291 0.0000 0.0000 0.0000 12.2166" Properties=species:S:1:pos:R:3 pbc="T T T"
Dy 0.0000 0.0000 0.0000
Dy 0.0000 0.0000 6.1083
Dy 0.0000 2.8860 2.2450
Dy 2.4994 1.4430 9.9716
Cd 0.0000 2.8860 8.1733
Cd 2.4994 1.4430 4.0433
Au 0.0000 0.0000 3.0051
Au 0.0000 0.0000 9.2115
Au 0.0000 2.8860 5.2110
Au 0.0000 2.8860 11.3757
Au 2.4994 1.4430 0.8409
Au 2.4994 1.4430 7.0056
```

Output
DOS at the Fermi energy: 2.44 states/eV/f.u.
E_form: -740 meV per atom
Space group: No. 164
Calculated volume: 132.2 Å³/f.u.



3.
## NaCa2Pd (PBE-GGA)

Data for crystalline NaCa2Pd at its relaxed geometry.

The structure in extended XYZ format:
```
4
Lattice="2.0616 1.1903 9.3537 -2.0616 1.1903 9.3537 0.0000 -2.3805 9.3537" Properties=species:S:1:pos:R:3 pbc="T T T"
Na 0.0000 0.0000 0.0000
Ca 0.0000 0.0000 15.5990
Ca 0.0000 0.0000 21.7591
Pd 0.0000 0.0000 4.6405
```

Output
DOS at the Fermi energy: 2.37 states/eV/f.u.
E_form: -300 meV per atom
Space group: No. 160
Calculated volume: 137.7 Å³/f.u.



4.
## CaAcP2 (PBE-GGA)

Data for crystalline CaAcP2 at its relaxed geometry.

The structure in extended XYZ format:
```
4
Lattice="2.1962 1.2680 6.7223 -2.1962 1.2680 6.7223 0.0000 -2.5360 6.7223" Properties=species:S:1:pos:R:3 pbc="T T T"
Ca 0.0000 0.0000 0.0000
Ac 0.0000 0.0000 16.6744
P 0.0000 0.0000 5.1138
P 0.0000 0.0000 8.1472
```

Output
DOS at the Fermi energy: 2.22 states/eV/f.u.
E_form: -1026 meV per atom
Space group: No. 160
Calculated volume: 112.3 Å³/f.u.



5.
## PuCrAs2 (PBE-GGA)

Data for crystalline PuCrAs2 at its relaxed geometry.

The structure in extended XYZ format:
```
8
Lattice="-1.9669 1.9669 9.8179 1.9669 -1.9669 9.8179 1.9669 1.9669 -9.8179" Properties=species:S:1:pos:R:3 pbc="T T T"
Pu 0.0000 0.0000 2.1925
Pu 0.0000 0.0000 17.4432
Cr 1.9669 0.0000 4.9089
Cr 0.0000 1.9669 4.9089
As 1.9669 0.0000 0.0000
As 0.0000 0.0000 6.3951
As 0.0000 1.9669 0.0000
As 0.0000 0.0000 13.2406
```

Output
DOS at the Fermi energy: 10.74 states/eV/f.u.
E_form: -536 meV per atom
Space group: No. 139
Calculated volume: 76.0 Å³/f.u.



6.
## CsGaSeN2 (PBE-GGA)

Data for crystalline CsGaSeN2 at its relaxed geometry.

The structure in extended XYZ format:
```
5
Lattice="4.5658 0.0000 0.0000 0.0000 4.5658 0.0000 0.0000 0.0000 5.1673" Properties=species:S:1:pos:R:3 pbc="T T T"
Cs 0.0000 0.0000 0.0000
Ga 2.2829 2.2829 2.5836
Se 2.2829 2.2829 0.0000
N 0.0000 2.2829 2.5836
N 2.2829 0.0000 2.5836
```

Output
DOS at the Fermi energy: 3.60 states/eV/f.u.
Space group: No. 123
ΔE_f (raw): 5.244 eV/f.u.
Calculated volume: 107.7 Å³/f.u.



7.
## Ba2PHPd (PBE-GGA)

Data for crystalline Ba2PHPd at its relaxed geometry.

The structure in extended XYZ format:
```
10
Lattice="6.9929 0.0000 0.0000 0.0000 4.4698 0.0000 -2.7351 0.0000 8.3738" Properties=species:S:1:pos:R:3 pbc="T T T"
Ba 0.4533 1.1174 3.5380
Ba -0.8618 1.1174 7.9282
Ba 5.1195 3.3523 0.4456
Ba 3.8044 3.3523 4.8358
P 0.6540 3.3523 5.9759
P 3.6038 1.1174 2.3979
H 0.7064 3.3523 1.3614
H 3.5513 1.1174 7.0124
Pd 2.3560 3.3523 1.9751
Pd 1.9018 1.1174 6.3987
```

Output
DOS at the Fermi energy: 0.04 states/eV/f.u.
Space group: No. 11
Calculated volume: 130.9 Å³/f.u.
Total energy: -4.33 eV/atom



8.
## Ti2TlS (PBE-GGA)

Data for crystalline Ti2TlS at its relaxed geometry.

The structure in extended XYZ format:
```
8
Lattice="-2.6911 2.6911 6.7445 2.6911 -2.6911 6.7445 2.6911 2.6911 -6.7445" Properties=species:S:1:pos:R:3 pbc="T T T"
Ti 4.0366 0.8394 -1.6861
Ti 0.8394 1.3455 1.6861
Ti -1.3455 1.8517 5.0584
Ti 1.8517 1.3455 8.4306
Tl 2.6911 0.0000 3.3722
Tl 0.0000 0.0000 6.7445
S 0.0000 0.0000 0.0000
S 0.0000 2.6911 3.3722
```

Output
DOS at the Fermi energy: 7.14 states/eV/f.u.
Space group: No. 122
ΔE_f (raw): 0.211 eV/f.u.
Calculated volume: 97.7 Å³/f.u.



9.
## SrSb2Pd (PBE-GGA)

Data for crystalline SrSb2Pd at its relaxed geometry.

The structure in extended XYZ format:
```
4
Lattice="2.1412 1.2362 8.8790 -2.1412 1.2362 8.8790 0.0000 -2.4725 8.8790" Properties=species:S:1:pos:R:3 pbc="T T T"
Sr 0.0000 0.0000 0.0000
Sb 0.0000 0.0000 3.3270
Sb 0.0000 0.0000 23.3101
Pd 0.0000 0.0000 13.3185
```

Output
DOS at the Fermi energy: 1.61 states/eV/f.u.
Space group: No. 166
ΔE_f (raw): -0.959 eV/f.u.
Calculated volume: 141.0 Å³/f.u.



10.
## Mo3Os (PBE-GGA)

Data for crystalline Mo3Os at its relaxed geometry.

The structure in extended XYZ format:
```
4
Lattice="1.5683 -2.2310 0.0000 1.5683 2.2310 0.0000 0.0000 0.0000 8.8830" Properties=species:S:1:pos:R:3 pbc="T T T"
Mo 0.0000 0.0000 0.0000
Mo 1.5683 0.0000 2.2412
Mo 1.5683 0.0000 6.6418
Os 0.0000 0.0000 4.4415
```

Output
DOS at the Fermi energy: 4.98 states/eV/f.u.
E_form: 169 meV per atom
Space group: No. 65
Calculated volume: 62.2 Å³/f.u.



11.
## PmScCo4 (PBE-GGA)

Data for crystalline PmScCo4 at its relaxed geometry.

The structure in extended XYZ format:
```
6
Lattice="0.0000 3.5534 3.5534 3.5534 0.0000 3.5534 3.5534 3.5534 0.0000" Properties=species:S:1:pos:R:3 pbc="T T T"
Pm 0.0000 0.0000 0.0000
Sc 5.3301 5.3301 5.3301
Co 2.6712 2.6712 2.6712
Co 4.4355 4.4355 2.6712
Co 4.4355 2.6712 4.4355
Co 2.6712 4.4355 4.4355
```

Output
DOS at the Fermi energy: 7.96 states/eV/f.u.
E_form: -181 meV per atom
Space group: No. 216
Calculated volume: 89.7 Å³/f.u.



12.
## MgZrTi (PBE-GGA)

Data for crystalline MgZrTi at its relaxed geometry.

The structure in extended XYZ format:
```
3
Lattice="3.1261 0.0000 0.0000 -1.5631 2.7073 0.0000 0.0000 0.0000 7.5488" Properties=species:S:1:pos:R:3 pbc="T T T"
Mg 0.0000 0.0000 0.0000
Zr 0.0000 1.8049 4.8304
Ti 1.5631 0.9024 2.5176
```

Output
DOS at the Fermi energy: 2.79 states/eV/f.u.
E_form: 100 meV per atom
Space group: No. 156
Calculated volume: 63.9 Å³/f.u.